Record 1
Ac3Si2Au3 GGA-PBE optimized geometry; symmetry = Cmcm, No. 63; E_form (uncorrected) = -0.738 eV/atom
1.0
2.232 -5.871 0.000
2.232 5.871 0.000
0.000 0.000 16.495
Ac Si Au
6 4 6
Direct
0.084 0.916 0.750 Ac
0.372 0.628 0.590 Ac
0.372 0.628 0.910 Ac
0.628 0.372 0.090 Ac
0.628 0.372 0.410 Ac
0.916 0.084 0.250 Ac
0.333 0.667 0.113 Si
0.333 0.667 0.387 Si
0.667 0.333 0.613 Si
0.667 0.333 0.887 Si
0.090 0.910 0.558 Au
0.090 0.910 0.942 Au
0.199 0.801 0.250 Au
0.801 0.199 0.750 Au
0.910 0.090 0.058 Au
0.910 0.090 0.442 Au


Record 2
AcSi4Au12 GGA-PBE optimized geometry; symmetry = Im-3, No. 204; E_form (uncorrected) = -0.105 eV/atom
1.0
-4.453 4.453 4.453
4.453 -4.453 4.453
4.453 4.453 -4.453
Ac Si Au
1 4 12
Direct
0.000 0.000 0.000 Ac
0.000 0.000 0.500 Si
0.000 0.500 0.000 Si
0.500 0.000 0.000 Si
0.500 0.500 0.500 Si
0.163 0.341 0.504 Au
0.163 0.659 0.822 Au
0.178 0.837 0.341 Au
0.341 0.178 0.837 Au
0.341 0.504 0.163 Au
0.496 0.837 0.659 Au
0.504 0.163 0.341 Au
0.659 0.496 0.837 Au
0.659 0.822 0.163 Au
0.822 0.163 0.659 Au
0.837 0.341 0.178 Au
0.837 0.659 0.496 Au


Record 3
Ac2SiAu3 GGA-PBE optimized geometry; symmetry = Fmmm, No. 69; energy above the lowest structure with this stoichiometry = 0 meV per atom; E_form (uncorrected) = -0.803 eV/atom
1.0
0.000 4.670 8.078
4.136 0.000 8.078
4.136 4.670 0.000
Ac Si Au
4 2 6
Direct
0.237 0.763 0.763 Ac
0.250 0.250 0.250 Ac
0.750 0.750 0.750 Ac
0.763 0.237 0.237 Ac
0.335 0.335 0.665 Si
0.665 0.665 0.335 Si
0.176 0.176 0.824 Au
0.177 0.647 0.353 Au
0.353 0.823 0.177 Au
0.647 0.177 0.823 Au
0.823 0.353 0.647 Au
0.824 0.824 0.176 Au


Record 4
AcSiAu4 GGA-PBE optimized geometry; symmetry = Pmma, No. 51; energy above the lowest structure with this stoichiometry = 33 meV per atom; E_form (uncorrected) = -0.424 eV/atom
1.0
7.957 0.000 0.000
0.000 4.264 0.000
0.000 0.000 7.625
Ac Si Au
2 2 8
Direct
0.250 0.000 0.116 Ac
0.750 0.000 0.884 Ac
0.250 0.000 0.699 Si
0.750 0.000 0.301 Si
0.000 0.000 0.500 Au
0.066 0.500 0.823 Au
0.250 0.500 0.435 Au
0.434 0.500 0.823 Au
0.500 0.000 0.500 Au
0.566 0.500 0.177 Au
0.750 0.500 0.565 Au
0.934 0.500 0.177 Au


Record 5
AcSi2Au6 GGA-PBE optimized geometry; symmetry = P4/mmm, No. 123; energy above the lowest structure with this stoichiometry = 0 meV per atom; E_form (uncorrected) = -0.358 eV/atom
1.0
4.565 0.000 0.000
0.000 4.565 0.000
0.000 0.000 8.530
Ac Si Au
1 2 6
Direct
0.000 0.000 0.000 Ac
0.500 0.500 0.146 Si
0.500 0.500 0.854 Si
0.000 0.000 0.500 Au
0.000 0.500 0.280 Au
0.000 0.500 0.720 Au
0.500 0.000 0.280 Au
0.500 0.000 0.720 Au
0.500 0.500 0.500 Au


Record 6
Ac3Si3Au GGA-PBE optimized geometry; symmetry = Imm2, No. 44; E_form (uncorrected) = -0.655 eV/atom
1.0
4.275 0.000 0.000
0.000 4.602 0.000
0.000 0.000 19.381
Ac Si Au
6 6 2
Direct
0.000 0.000 0.000 Ac
0.000 0.000 0.369 Ac
0.000 0.500 0.689 Ac
0.500 0.000 0.189 Ac
0.500 0.500 0.500 Ac
0.500 0.500 0.869 Ac
0.000 0.000 0.547 Si
0.000 0.000 0.821 Si
0.000 0.500 0.250 Si
0.500 0.000 0.750 Si
0.500 0.500 0.047 Si
0.500 0.500 0.321 Si
0.000 0.500 0.121 Au
0.500 0.000 0.621 Au


Record 7
Ac5Si2Au2 GGA-PBE optimized geometry; symmetry = Cmce, No. 64; E_form (uncorrected) = -0.612 eV/atom
1.0
8.327 -4.164 0.000
8.327 4.164 0.000
0.000 0.000 8.235
Ac Si Au
10 4 4
Direct
0.000 0.000 0.000 Ac
0.039 0.687 0.668 Ac
0.187 0.539 0.168 Ac
0.313 0.961 0.668 Ac
0.461 0.813 0.168 Ac
0.500 0.500 0.500 Ac
0.539 0.187 0.832 Ac
0.687 0.039 0.332 Ac
0.813 0.461 0.832 Ac
0.961 0.313 0.332 Ac
0.111 0.889 0.390 Si
0.389 0.611 0.890 Si
0.611 0.389 0.110 Si
0.889 0.111 0.610 Si
0.204 0.204 0.000 Au
0.296 0.296 0.500 Au
0.704 0.704 0.500 Au
0.796 0.796 0.000 Au


Record 8
Ac2Si3Au GGA-PBE optimized geometry; symmetry = Fmmm, No. 69; E_form (uncorrected) = -0.746 eV/atom
1.0
0.000 4.694 7.319
4.242 0.000 7.319
4.242 4.694 0.000
Ac Si Au
4 6 2
Direct
0.244 0.756 0.244 Ac
0.250 0.250 0.250 Ac
0.750 0.750 0.750 Ac
0.756 0.244 0.756 Ac
0.163 0.163 0.837 Si
0.164 0.673 0.836 Si
0.327 0.836 0.673 Si
0.673 0.164 0.327 Si
0.836 0.327 0.164 Si
0.837 0.837 0.163 Si
0.334 0.334 0.666 Au
0.666 0.666 0.334 Au


Record 9
AcSiAu GGA-PBE optimized geometry; symmetry = Immm, No. 71; energy above the lowest structure with this stoichiometry = 0 meV per atom; E_form (uncorrected) = -0.792 eV/atom
1.0
4.440 0.000 0.000
0.000 7.800 0.000
0.000 0.000 8.773
Ac Si Au
4 4 4
Direct
0.000 0.000 0.238 Ac
0.000 0.000 0.762 Ac
0.500 0.500 0.262 Ac
0.500 0.500 0.738 Ac
0.000 0.346 0.000 Si
0.000 0.654 0.000 Si
0.500 0.154 0.500 Si
0.500 0.846 0.500 Si
0.000 0.314 0.500 Au
0.000 0.686 0.500 Au
0.500 0.186 0.000 Au
0.500 0.814 0.000 Au


Record 10
Ac2Si7Au12 GGA-PBE optimized geometry; symmetry = P-3, No. 147; E_form (uncorrected) = -0.280 eV/atom
1.0
10.134 0.000 0.000
-5.067 8.776 0.000
0.000 0.000 4.565
Ac Si Au
2 7 12
Direct
0.333 0.667 0.262 Ac
0.667 0.333 0.738 Ac
0.000 0.000 0.000 Si
0.108 0.391 0.782 Si
0.283 0.892 0.782 Si
0.391 0.283 0.218 Si
0.609 0.717 0.782 Si
0.717 0.108 0.218 Si
0.892 0.609 0.218 Si
0.067 0.614 0.747 Au
0.123 0.865 0.291 Au
0.135 0.259 0.291 Au
0.259 0.123 0.709 Au
0.386 0.453 0.747 Au
0.453 0.067 0.253 Au
0.547 0.933 0.747 Au
0.614 0.547 0.253 Au
0.741 0.877 0.291 Au
0.865 0.741 0.709 Au
0.877 0.135 0.709 Au
0.933 0.386 0.253 Au


Record 11
Ac2SiAu3 GGA-PBE optimized geometry; symmetry = Pmm2, No. 25; energy above the lowest structure with this stoichiometry = 8 meV per atom; E_form (uncorrected) = -0.795 eV/atom
1.0
4.224 0.000 0.000
0.000 4.523 0.000
0.000 0.000 8.205
Ac Si Au
2 1 3
Direct
0.000 0.000 0.000 Ac
0.000 0.500 0.490 Ac
0.500 0.000 0.318 Si
0.500 0.000 0.631 Au
0.500 0.500 0.179 Au
0.500 0.500 0.835 Au


Record 12
AcSiAu3 GGA-PBE optimized geometry; symmetry = Cm, No. 8; energy above the lowest structure with this stoichiometry = 0 meV per atom; E_form (uncorrected) = -0.637 eV/atom
1.0
6.539 0.000 0.000
0.000 6.552 0.000
-3.250 0.000 5.200
Ac Si Au
2 2 6
Direct
0.000 0.000 0.000 Ac
0.500 0.500 0.000 Ac
0.142 0.500 0.284 Si
0.642 0.000 0.284 Si
0.408 0.000 0.818 Au
0.489 0.251 0.477 Au
0.489 0.749 0.477 Au
0.908 0.500 0.818 Au
0.989 0.249 0.477 Au
0.989 0.751 0.477 Au


Record 13
AcSi2Au2 GGA-PBE optimized geometry; symmetry = I4/mmm, No. 139; E_form (uncorrected) = -0.613 eV/atom
1.0
4.517 0.000 0.000
0.000 4.517 0.000
0.000 0.000 10.237
Ac Si Au
2 4 4
Direct
0.000 0.000 0.000 Ac
0.500 0.500 0.500 Ac
0.000 0.000 0.382 Si
0.000 0.000 0.618 Si
0.500 0.500 0.118 Si
0.500 0.500 0.882 Si
0.000 0.500 0.250 Au
0.000 0.500 0.750 Au
0.500 0.000 0.250 Au
0.500 0.000 0.750 Au


Record 14
Ac2Si2Au3 GGA-PBE optimized geometry; symmetry = C2/m, No. 12; E_form (uncorrected) = -0.676 eV/atom
1.0
11.670 0.000 0.000
0.000 4.485 0.000
-0.699 0.000 6.577
Ac Si Au
4 4 6
Direct
0.160 0.000 0.239 Ac
0.340 0.500 0.761 Ac
0.660 0.500 0.239 Ac
0.840 0.000 0.761 Ac
0.066 0.500 0.874 Si
0.434 0.000 0.126 Si
0.566 0.000 0.874 Si
0.934 0.500 0.126 Si
0.000 0.500 0.500 Au
0.134 0.000 0.736 Au
0.366 0.500 0.264 Au
0.500 0.000 0.500 Au
0.634 0.500 0.736 Au
0.866 0.000 0.264 Au


Record 15
AcSi2Au6 GGA-PBE optimized geometry; symmetry = P6/mmm, No. 191; energy above the lowest structure with this stoichiometry = 182 meV per atom; E_form (uncorrected) = -0.176 eV/atom
1.0
6.158 0.000 0.000
-3.079 5.333 0.000
0.000 0.000 6.416
Ac Si Au
1 2 6
Direct
0.000 0.000 0.000 Ac
0.333 0.667 0.500 Si
0.667 0.333 0.500 Si
0.000 0.500 0.223 Au
0.000 0.500 0.777 Au
0.500 0.000 0.223 Au
0.500 0.000 0.777 Au
0.500 0.500 0.223 Au
0.500 0.500 0.777 Au


Record 16
AcSiAu3 GGA-PBE optimized geometry; symmetry = P2_1/c, No. 14; energy above the lowest structure with this stoichiometry = 95 meV per atom; E_form (uncorrected) = -0.542 eV/atom
1.0
8.542 0.000 0.000
0.000 5.907 0.000
-6.795 0.000 8.871
Ac Si Au
4 4 12
Direct
0.247 0.179 0.282 Ac
0.247 0.321 0.782 Ac
0.753 0.679 0.218 Ac
0.753 0.821 0.718 Ac
0.293 0.514 0.073 Si
0.293 0.986 0.573 Si
0.707 0.014 0.427 Si
0.707 0.486 0.927 Si
0.021 0.706 0.095 Au
0.021 0.794 0.595 Au
0.229 0.611 0.454 Au
0.229 0.889 0.954 Au
0.451 0.702 0.326 Au
0.451 0.798 0.826 Au
0.549 0.202 0.174 Au
0.549 0.298 0.674 Au
0.771 0.111 0.046 Au
0.771 0.389 0.546 Au
0.979 0.206 0.405 Au
0.979 0.294 0.905 Au


Record 17
Ac12Si6Au GGA-PBE optimized geometry; symmetry = Im-3, No. 204; E_form (uncorrected) = -0.412 eV/atom
1.0
-5.456 5.456 5.456
5.456 -5.456 5.456
5.456 5.456 -5.456
Ac Si Au
12 6 1
Direct
0.110 0.812 0.298 Ac
0.188 0.298 0.486 Ac
0.188 0.702 0.890 Ac
0.298 0.110 0.812 Ac
0.298 0.486 0.188 Ac
0.486 0.188 0.298 Ac
0.514 0.812 0.702 Ac
0.702 0.514 0.812 Ac
0.702 0.890 0.188 Ac
0.812 0.298 0.110 Ac
0.812 0.702 0.514 Ac
0.890 0.188 0.702 Ac
0.110 0.610 0.500 Si
0.390 0.500 0.890 Si
0.500 0.110 0.610 Si
0.500 0.890 0.390 Si
0.610 0.500 0.110 Si
0.890 0.390 0.500 Si
0.000 0.000 0.000 Au


Record 18
AcSmSi2Au2 GGA-PBE optimized geometry; symmetry = P-3m1, No. 164; E_form (uncorrected) = -0.807 eV/atom
1.0
4.389 0.000 0.000
-2.195 3.801 0.000
0.000 0.000 8.451
Ac Sm Si Au
1 1 2 2
Direct
0.000 0.000 0.000 Ac
0.000 0.000 0.500 Sm
0.333 0.667 0.736 Si
0.667 0.333 0.264 Si
0.333 0.667 0.271 Au
0.667 0.333 0.729 Au


Record 19
AcSmSiAu GGA-PBE optimized geometry; symmetry = F-43m, No. 216; E_form (uncorrected) = -0.562 eV/atom
1.0
7.554 0.000 0.000
0.000 7.554 0.000
0.000 0.000 7.554
Ac Sm Si Au
4 4 4 4
Direct
0.000 0.000 0.000 Ac
0.000 0.500 0.500 Ac
0.500 0.000 0.500 Ac
0.500 0.500 0.000 Ac
0.000 0.000 0.500 Sm
0.000 0.500 0.000 Sm
0.500 0.000 0.000 Sm
0.500 0.500 0.500 Sm
0.250 0.250 0.750 Si
0.250 0.750 0.250 Si
0.750 0.250 0.250 Si
0.750 0.750 0.750 Si
0.250 0.250 0.250 Au
0.250 0.750 0.750 Au
0.750 0.250 0.750 Au
0.750 0.750 0.250 Au


Record 20
Ac2SmSi3Au12 GGA-PBE optimized geometry; symmetry = R-3m, No. 166; E_form (uncorrected) = -0.237 eV/atom
1.0
4.443 2.565 6.553
-4.443 2.565 6.553
0.000 -5.130 6.553
Ac Sm Si Au
2 1 3 12
Direct
0.101 0.101 0.101 Ac
0.899 0.899 0.899 Ac
0.500 0.500 0.500 Sm
0.000 0.500 0.500 Si
0.500 0.000 0.500 Si
0.500 0.500 0.000 Si
0.094 0.641 0.641 Au
0.187 0.187 0.641 Au
0.187 0.641 0.187 Au
0.359 0.359 0.906 Au
0.359 0.813 0.813 Au
0.359 0.906 0.359 Au
0.641 0.094 0.641 Au
0.641 0.187 0.187 Au
0.641 0.641 0.094 Au
0.813 0.359 0.813 Au
0.813 0.813 0.359 Au
0.906 0.359 0.359 Au